A relaxed Fe5O3F7 crystal, computed with GGA+U.

## Properties
volume: 361.51 Å³/cell
energy above the lowest structure with this stoichiometry: 22 meV per atom

```
data_Fe5O3F7
_chemical_formula_sum 'Fe10 O6 F14'
_symmetry_space_group_name_H-M 'P 1'
_symmetry_Int_Tables_number 1
_symmetry_space_group_name_Hall 'P 1'
_cell_length_a 4.7651
_cell_length_b 4.7787
_cell_length_c 15.8763
_cell_angle_alpha 90.00
_cell_angle_beta 90.00
_cell_angle_gamma 90.00
loop_
_atom_site_label
_atom_site_type_symbol
_atom_site_fract_x
_atom_site_fract_y
_atom_site_fract_z
Fe1 Fe 0.7823 0.0160 0.2081
Fe2 Fe 0.7536 0.0060 0.0000
Fe3 Fe 0.2248 0.4685 0.0952
Fe4 Fe 0.2248 0.4685 0.9048
Fe5 Fe 0.2177 0.5160 0.2919
Fe6 Fe 0.7752 0.9685 0.5952
Fe7 Fe 0.7823 0.0160 0.7919
Fe8 Fe 0.2464 0.5060 0.5000
Fe9 Fe 0.7752 0.9685 0.4048
Fe10 Fe 0.2177 0.5160 0.7081
F1 F 0.5538 0.1919 0.1093
F2 F 0.0539 0.3028 0.6077
F3 F 0.9461 0.8028 0.8923
F4 F 0.9461 0.8028 0.1077
F5 F 0.5472 0.2107 0.7021
F6 F 0.0539 0.3028 0.3923
F7 F 0.5505 0.1976 0.5000
F8 F 0.4495 0.6976 0.0000
F9 F 0.5472 0.2107 0.2979
F10 F 0.5538 0.1919 0.8907
F11 F 0.4528 0.7107 0.7979
F12 F 0.4462 0.6919 0.3907
F13 F 0.4462 0.6919 0.6093
F14 F 0.4528 0.7107 0.2021
O1 O 0.0458 0.2962 0.0000
O2 O 0.9542 0.7962 0.5000
O3 O 0.9447 0.8102 0.7006
O4 O 0.0553 0.3102 0.2006
O5 O 0.0553 0.3102 0.7994
O6 O 0.9447 0.8102 0.2994
```